# 1
# TlAgPt2, relaxed, DFT PBE
# Calculated volume = 71.24 Å³/cell
data_TlAgPt2
_chemical_formula_sum 'Tl1 Ag1 Pt2'
_symmetry_space_group_name_H-M 'P 1 2/m 1'
_symmetry_Int_Tables_number 10
_cell_length_a 3.0231
_cell_length_b 3.9722
_cell_length_c 5.9328
_cell_angle_alpha 90.00
_cell_angle_beta 90.45
_cell_angle_gamma 90.00
loop_
_symmetry_equiv_pos_as_xyz
'x,y,z'
'-x,-y,-z'
'-x,y,-z'
'x,-y,z'
loop_
_atom_site_label
_atom_site_fract_x
_atom_site_fract_y
_atom_site_fract_z
Tl1 0.0000 0.0000 0.0000
Ag1 0.0000 0.0000 0.5000
Pt1 0.4981 0.5000 0.2554

# 2
# TlAgPt2, relaxed, DFT PBE
# Calculated volume = 286.58 Å³/cell
data_TlAgPt2
_chemical_formula_sum 'Tl4 Ag4 Pt8'
_symmetry_space_group_name_H-M 'F -4 3 m'
_symmetry_Int_Tables_number 216
_symmetry_space_group_name_Hall 'F -4 2 3'
_cell_length_a 6.5930
_cell_length_b 6.5930
_cell_length_c 6.5930
_cell_angle_alpha 90.00
_cell_angle_beta 90.00
_cell_angle_gamma 90.00
loop_
_atom_site_label
_atom_site_fract_x
_atom_site_fract_y
_atom_site_fract_z
Tl1 0.0000 0.0000 0.0000
Ag1 0.2500 0.2500 0.7500
Pt1 0.0000 0.0000 0.5000
Pt2 0.2500 0.2500 0.2500

# 3
# TmTlAgPt, relaxed, DFT PBE
# Calculated volume = 328.88 Å³/cell
data_TmTlAgPt
_chemical_formula_sum 'Tm4 Tl4 Ag4 Pt4'
_symmetry_space_group_name_H-M 'F -4 3 m'
_symmetry_Int_Tables_number 216
_symmetry_space_group_name_Hall 'F -4 2 3'
_cell_length_a 6.9026
_cell_length_b 6.9026
_cell_length_c 6.9026
_cell_angle_alpha 90.00
_cell_angle_beta 90.00
_cell_angle_gamma 90.00
loop_
_atom_site_label
_atom_site_fract_x
_atom_site_fract_y
_atom_site_fract_z
Tm1 0.0000 0.0000 0.0000
Tl1 0.0000 0.0000 0.5000
Ag1 0.2500 0.2500 0.7500
Pt1 0.2500 0.2500 0.2500

# 4
# Tm4TlAg2Pt, relaxed, DFT PBE
# Calculated volume = 555.08 Å³/cell
data_Tm4TlAg2Pt
_chemical_formula_sum 'Tm12 Tl3 Ag6 Pt3'
_symmetry_space_group_name_H-M 'R -3 m'
_symmetry_Int_Tables_number 166
_symmetry_space_group_name_Hall '-R 3 2"'
_cell_length_a 5.0802
_cell_length_b 5.0802
_cell_length_c 24.8354
_cell_angle_alpha 90.00
_cell_angle_beta 90.00
_cell_angle_gamma 120.00
loop_
_atom_site_label
_atom_site_fract_x
_atom_site_fract_y
_atom_site_fract_z
Tm1 0.0000 0.0000 0.1163
Tm2 0.0000 0.0000 0.3683
Tl1 0.0000 0.0000 0.5000
Ag1 0.0000 0.0000 0.2428
Pt1 0.0000 0.0000 0.0000

# 5
# TlAgPtW2, relaxed, DFT PBE
# Calculated volume = 122.51 Å³/cell
data_TlAgPtW2
_chemical_formula_sum 'Tl1 Ag1 Pt1 W2'
_symmetry_space_group_name_H-M 'P 4/m m m'
_symmetry_Int_Tables_number 123
_symmetry_space_group_name_Hall '-P 4 2'
_cell_length_a 4.8889
_cell_length_b 4.8889
_cell_length_c 5.1256
_cell_angle_alpha 90.00
_cell_angle_beta 90.00
_cell_angle_gamma 90.00
loop_
_atom_site_label
_atom_site_fract_x
_atom_site_fract_y
_atom_site_fract_z
Tl1 0.0000 0.0000 0.0000
Ag1 0.5000 0.5000 0.0000
Pt1 0.0000 0.0000 0.5000
W1 0.0000 0.5000 0.5000

# 6
# YTlAgPt, relaxed, DFT PBE
# Calculated volume = 337.67 Å³/cell
data_YTlAgPt
_chemical_formula_sum 'Y4 Tl4 Ag4 Pt4'
_symmetry_space_group_name_H-M 'F -4 3 m'
_symmetry_Int_Tables_number 216
_symmetry_space_group_name_Hall 'F -4 2 3'
_cell_length_a 6.9636
_cell_length_b 6.9636
_cell_length_c 6.9636
_cell_angle_alpha 90.00
_cell_angle_beta 90.00
_cell_angle_gamma 90.00
loop_
_atom_site_label
_atom_site_fract_x
_atom_site_fract_y
_atom_site_fract_z
Y1 0.0000 0.0000 0.0000
Tl1 0.0000 0.0000 0.5000
Ag1 0.2500 0.2500 0.7500
Pt1 0.2500 0.2500 0.2500

# 7
# Y2TlAgPt, relaxed, DFT PBE
# Calculated volume = 145.11 Å³/cell
data_Y2TlAgPt
_chemical_formula_sum 'Y2 Tl1 Ag1 Pt1'
_symmetry_space_group_name_H-M 'P 4/m m m'
_symmetry_Int_Tables_number 123
_symmetry_space_group_name_Hall '-P 4 2'
_cell_length_a 5.4037
_cell_length_b 5.4037
_cell_length_c 4.9695
_cell_angle_alpha 90.00
_cell_angle_beta 90.00
_cell_angle_gamma 90.00
loop_
_atom_site_label
_atom_site_fract_x
_atom_site_fract_y
_atom_site_fract_z
Y1 0.0000 0.5000 0.0000
Tl1 0.0000 0.0000 0.5000
Ag1 0.5000 0.5000 0.0000
Pt1 0.5000 0.5000 0.5000

# 8
# ZrTlAg2Pt, relaxed, DFT PBE
# Calculated volume = 147.85 Å³/cell
data_ZrTlAg2Pt
_chemical_formula_sum 'Zr1 Tl1 Ag2 Pt1'
_symmetry_space_group_name_H-M 'P 4/m m m'
_symmetry_Int_Tables_number 123
_symmetry_space_group_name_Hall '-P 4 2'
_cell_length_a 5.4410
_cell_length_b 5.4410
_cell_length_c 4.9940
_cell_angle_alpha 90.00
_cell_angle_beta 90.00
_cell_angle_gamma 90.00
loop_
_atom_site_label
_atom_site_fract_x
_atom_site_fract_y
_atom_site_fract_z
Zr1 0.0000 0.0000 0.0000
Tl1 0.5000 0.5000 0.5000
Ag1 0.0000 0.5000 0.0000
Pt1 0.0000 0.0000 0.5000

# 9
# TmAgPt, relaxed, DFT PBE
# Calculated volume = 132.18 Å³/cell
data_TmAgPt
_chemical_formula_sum 'Tm2 Ag2 Pt2'
_symmetry_space_group_name_H-M 'I 4 m m'
_symmetry_Int_Tables_number 107
_symmetry_space_group_name_Hall 'I 4 -2'
_cell_length_a 2.9729
_cell_length_b 2.9729
_cell_length_c 14.9555
_cell_angle_alpha 90.00
_cell_angle_beta 90.00
_cell_angle_gamma 90.00
loop_
_atom_site_label
_atom_site_fract_x
_atom_site_fract_y
_atom_site_fract_z
Tm1 0.0000 0.0000 0.0000
Ag1 0.0000 0.0000 0.1959
Pt1 0.0000 0.0000 0.8281

# 10
# TmAgPt, relaxed, DFT PBE
# Calculated volume = 236.02 Å³/cell
data_TmAgPt
_chemical_formula_sum 'Tm4 Ag4 Pt4'
_symmetry_space_group_name_H-M 'C m c m'
_symmetry_Int_Tables_number 63
_symmetry_space_group_name_Hall '-C 2c 2'
_cell_length_a 3.5870
_cell_length_b 14.4980
_cell_length_c 4.5385
_cell_angle_alpha 90.00
_cell_angle_beta 90.00
_cell_angle_gamma 90.00
loop_
_atom_site_label
_atom_site_fract_x
_atom_site_fract_y
_atom_site_fract_z
Tm1 0.0000 0.0898 0.2500
Ag1 0.0000 0.2356 0.7500
Pt1 0.0000 0.4290 0.2500

# 11
# Tm2Ag2Pt, relaxed, DFT PBE
# Calculated volume = 229.37 Å³/cell
data_Tm2Ag2Pt
_chemical_formula_sum 'Tm4 Ag4 Pt2'
_symmetry_space_group_name_H-M 'C 1 2/m 1'
_symmetry_Int_Tables_number 12
_cell_length_a 7.5130
_cell_length_b 4.5386
_cell_length_c 7.2345
_cell_angle_alpha 90.00
_cell_angle_beta 111.60
_cell_angle_gamma 90.00
loop_
_symmetry_equiv_pos_as_xyz
'x,y,z'
'-x,-y,-z'
'-x,y,-z'
'x,-y,z'
'x+1/2,y+1/2,z'
'-x+1/2,-y+1/2,-z'
'-x+1/2,y+1/2,-z'
'x+1/2,-y+1/2,z'
loop_
_atom_site_label
_atom_site_fract_x
_atom_site_fract_y
_atom_site_fract_z
Tm1 0.0943 0.0000 0.3012
Ag1 0.1484 0.5000 0.9360
Pt1 0.0000 0.5000 0.5000

# 12
# Tm8AgPt5, relaxed, DFT PBE
# Calculated volume = 649.23 Å³/cell
data_Tm8AgPt5
_chemical_formula_sum 'Tm16 Ag2 Pt10'
_symmetry_space_group_name_H-M 'I -4'
_symmetry_Int_Tables_number 82
_cell_length_a 8.7013
_cell_length_b 8.7013
_cell_length_c 8.5750
_cell_angle_alpha 90.00
_cell_angle_beta 90.00
_cell_angle_gamma 90.00
loop_
_symmetry_equiv_pos_as_xyz
'x,y,z'
'y,-x,-z'
'-x,-y,z'
'-y,x,-z'
'x+1/2,y+1/2,z+1/2'
'y+1/2,-x+1/2,-z+1/2'
'-x+1/2,-y+1/2,z+1/2'
'-y+1/2,x+1/2,-z+1/2'
loop_
_atom_site_label
_atom_site_fract_x
_atom_site_fract_y
_atom_site_fract_z
Tm1 0.0652 0.1886 0.3182
Tm2 0.0677 0.3238 0.9400
Ag1 0.0000 0.0000 0.0000
Pt1 0.0000 0.5000 0.2500
Pt2 0.1300 0.2523 0.6290

# 13
# TmAgPt, relaxed, DFT PBE
# Calculated volume = 61.00 Å³/cell
data_TmAgPt
_chemical_formula_sum 'Tm1 Ag1 Pt1'
_symmetry_space_group_name_H-M 'P 3 m 1'
_symmetry_Int_Tables_number 156
_cell_length_a 4.6395
_cell_length_b 4.6395
_cell_length_c 3.2722
_cell_angle_alpha 90.00
_cell_angle_beta 90.00
_cell_angle_gamma 120.00
loop_
_symmetry_equiv_pos_as_xyz
'x,y,z'
'-y,x-y,z'
'-x+y,-x,z'
'-y,-x,z'
'-x+y,y,z'
'x,x-y,z'
loop_
_atom_site_label
_atom_site_fract_x
_atom_site_fract_y
_atom_site_fract_z
Tm1 0.0000 0.0000 0.0000
Ag1 0.3333 0.6667 0.4983
Pt1 0.6667 0.3333 0.5024

# 14
# Tm6Ag5Pt, relaxed, DFT PBE
# Calculated volume = 541.73 Å³/cell
data_Tm6Ag5Pt
_chemical_formula_sum 'Tm12 Ag10 Pt2'
_symmetry_space_group_name_H-M 'C m m m'
_symmetry_Int_Tables_number 65
_symmetry_space_group_name_Hall '-C 2 2'
_cell_length_a 5.0228
_cell_length_b 15.1576
_cell_length_c 7.1156
_cell_angle_alpha 90.00
_cell_angle_beta 90.00
_cell_angle_gamma 90.00
loop_
_atom_site_label
_atom_site_fract_x
_atom_site_fract_y
_atom_site_fract_z
Tm1 0.0000 0.0000 0.2393
Tm2 0.0000 0.3389 0.2460
Ag1 0.0000 0.1673 0.5000
Ag2 0.0000 0.1744 0.0000
Ag3 0.0000 0.5000 0.5000
Pt1 0.0000 0.5000 0.0000

# 15
# Tm8AgPt2, relaxed, DFT PBE
# Calculated volume = 586.46 Å³/cell
data_Tm8AgPt2
_chemical_formula_sum 'Tm16 Ag2 Pt4'
_symmetry_space_group_name_H-M 'C 1 m 1'
_symmetry_Int_Tables_number 8
_cell_length_a 8.4852
_cell_length_b 13.0634
_cell_length_c 5.4898
_cell_angle_alpha 90.00
_cell_angle_beta 105.48
_cell_angle_gamma 90.00
loop_
_symmetry_equiv_pos_as_xyz
'x,y,z'
'x,-y,z'
'x+1/2,y+1/2,z'
'x+1/2,-y+1/2,z'
loop_
_atom_site_label
_atom_site_fract_x
_atom_site_fract_y
_atom_site_fract_z
Tm1 0.0000 0.0000 0.0000
Tm2 0.0815 0.3731 0.7807
Tm3 0.1735 0.1269 0.5988
Tm4 0.2545 0.5000 0.3794
Tm5 0.3775 0.2369 0.1898
Ag1 0.3772 0.0000 0.1936
Pt1 0.3775 0.3055 0.6898

# 16
# Tm5AgPt2, relaxed, DFT PBE
# Calculated volume = 778.88 Å³/cell
data_Tm5AgPt2
_chemical_formula_sum 'Tm20 Ag4 Pt8'
_symmetry_space_group_name_H-M 'I 4/m c m'
_symmetry_Int_Tables_number 140
_symmetry_space_group_name_Hall '-I 4 2c'
_cell_length_a 7.7216
_cell_length_b 7.7216
_cell_length_c 13.0634
_cell_angle_alpha 90.00
_cell_angle_beta 90.00
_cell_angle_gamma 90.00
loop_
_atom_site_label
_atom_site_fract_x
_atom_site_fract_y
_atom_site_fract_z
Tm1 0.0000 0.0000 0.0000
Tm2 0.1594 0.3406 0.1393
Ag1 0.0000 0.0000 0.2500
Pt1 0.1385 0.3615 0.5000

# 17
# Tm4AgPt3, relaxed, DFT PBE
# Calculated volume = 504.43 Å³/cell
data_Tm4AgPt3
_chemical_formula_sum 'Tm12 Ag3 Pt9'
_symmetry_space_group_name_H-M 'R -3 m'
_symmetry_Int_Tables_number 166
_symmetry_space_group_name_Hall '-R 3 2"'
_cell_length_a 4.9217
_cell_length_b 4.9217
_cell_length_c 24.0464
_cell_angle_alpha 90.00
_cell_angle_beta 90.00
_cell_angle_gamma 120.00
loop_
_atom_site_label
_atom_site_fract_x
_atom_site_fract_y
_atom_site_fract_z
Tm1 0.0000 0.0000 0.1217
Tm2 0.0000 0.0000 0.3717
Ag1 0.0000 0.0000 0.5000
Pt1 0.0000 0.0000 0.0000
Pt2 0.0000 0.0000 0.2450

# 18
# Tm2AgPt2, relaxed, DFT PBE
# Calculated volume = 210.54 Å³/cell
data_Tm2AgPt2
_chemical_formula_sum 'Tm4 Ag2 Pt4'
_symmetry_space_group_name_H-M 'P 4/m b m'
_symmetry_Int_Tables_number 127
_symmetry_space_group_name_Hall '-P 4 2ab'
_cell_length_a 7.5979
_cell_length_b 7.5979
_cell_length_c 3.6472
_cell_angle_alpha 90.00
_cell_angle_beta 90.00
_cell_angle_gamma 90.00
loop_
_atom_site_label
_atom_site_fract_x
_atom_site_fract_y
_atom_site_fract_z
Tm1 0.1662 0.3338 0.0000
Ag1 0.0000 0.0000 0.5000
Pt1 0.1333 0.6333 0.5000

# 19
# TmAgPt4, relaxed, DFT PBE
# Calculated volume = 430.98 Å³/cell
data_TmAgPt4
_chemical_formula_sum 'Tm4 Ag4 Pt16'
_symmetry_space_group_name_H-M 'F -4 3 m'
_symmetry_Int_Tables_number 216
_symmetry_space_group_name_Hall 'F -4 2 3'
_cell_length_a 7.5536
_cell_length_b 7.5536
_cell_length_c 7.5536
_cell_angle_alpha 90.00
_cell_angle_beta 90.00
_cell_angle_gamma 90.00
loop_
_atom_site_label
_atom_site_fract_x
_atom_site_fract_y
_atom_site_fract_z
Tm1 0.0000 0.0000 0.0000
Ag1 0.2500 0.2500 0.2500
Pt1 0.1247 0.1247 0.6247

# 20
# TmAgPt, relaxed, DFT PBE
# Calculated volume = 277.89 Å³/cell
data_TmAgPt
_chemical_formula_sum 'Tm4 Ag4 Pt4'
_symmetry_space_group_name_H-M 'F -4 3 m'
_symmetry_Int_Tables_number 216
_symmetry_space_group_name_Hall 'F -4 2 3'
_cell_length_a 6.5257
_cell_length_b 6.5257
_cell_length_c 6.5257
_cell_angle_alpha 90.00
_cell_angle_beta 90.00
_cell_angle_gamma 90.00
loop_
_atom_site_label
_atom_site_fract_x
_atom_site_fract_y
_atom_site_fract_z
Tm1 0.0000 0.0000 0.0000
Ag1 0.0000 0.0000 0.5000
Pt1 0.2500 0.2500 0.2500

no.,formation energy from the elements (meV/atom),total energy (eV per atom)
1,34,-4.29
2,83,-4.24
3,-488,-4.42
4,-592,-4.59
5,1859,-5.57
6,-486,-4.92
7,184,-4.65
8,710,-3.82
9,221,-4.23
10,-817,-5.27
11,-610,-4.75
12,-996,-5.91
13,-628,-5.08
14,-513,-4.44
15,-474,-5.08
16,-809,-5.47
17,-1067,-5.92
18,-1035,-5.81
19,-695,-5.94
20,-680,-5.13